VASP calculation (PBE) on a relaxed Tb3NbN3 crystal.

Cell lengths 8.9663, 9.9892, 5.0408 Å; angles 90.00, 90.00, 90.00 degrees
Space group Cmcm (No. 63)
One atom of each set of equivalent atoms:
Tb 0.0000 0.1107 0.2500 x4
Tb 0.2269 0.3801 0.2500 x8
Nb 0.0000 0.3326 0.7500 x4
N 0.0000 0.1263 0.7500 x4
N 0.2283 0.3723 0.7500 x8

Output
- DOS at the Fermi energy (states/eV/cell) = 11.22
- energy relative to the elements, uncorrected (eV/atom) = -1.325
- energy (eV/atom) = -8.316

***

VASP calculation (PBE) on a relaxed FeCu4Pt7 crystal.

Cell lengths 8.4922, 3.8837, 10.9058 Å; angles 90.00, 106.93, 90.00 degrees
Space group C2/m (No. 12)
One atom of each set of equivalent atoms:
Fe 0.0000 0.0000 0.0000 x2
Cu 0.1667 0.5000 0.4152 x4
Cu 0.1703 0.5000 0.1692 x4
Pt 0.0000 0.0000 0.5000 x2
Pt 0.0025 0.0000 0.2433 x4
Pt 0.1632 0.5000 0.9210 x4
Pt 0.1657 0.5000 0.6628 x4

Output
- DOS at the Fermi energy (states/eV/cell) = 19.27
- formation enthalpy at 0 K (meV per atom) = -143
- energy (eV/atom) = -5.737

***

VASP calculation (PBE) on a relaxed TlMoSe crystal.

Cell lengths 3.3918, 5.1860, 16.1699 Å; angles 90.00, 90.00, 90.00 degrees
Space group Fmm2 (No. 42)
One atom of each set of equivalent atoms:
Tl 0.0000 0.0000 0.0000 x4
Mo 0.0000 0.0000 0.3408 x4
Se 0.0000 0.0000 0.7317 x4

Output
- DOS at the Fermi energy (states/eV/cell) = 10.25
- polymorph energy (0 for the lowest one) (eV/atom) = 0.3207
- energy relative to the elements, uncorrected (eV/atom) = 0.375
- energy (eV/atom) = -5.186

***

VASP calculation (PBE) on a relaxed Be9V2Ni crystal.

Cell lengths 4.2930, 4.2930, 20.6468 Å; angles 90.00, 90.00, 120.00 degrees
Space group R-3m (No. 166, hexagonal axes)
One atom of each set of equivalent atoms:
Be 0.0000 0.0000 0.0000 x3
Be 0.0000 0.0000 0.1653 x6
Be 0.0025 0.5012 0.4159 x18
V 0.0000 0.0000 0.3524 x6
Ni 0.0000 0.0000 0.5000 x3

Output
- DOS at the Fermi energy (states/eV/cell) = 4.27
- formation enthalpy at 0 K (meV per atom) = -136
- energy (eV/atom) = -4.932

***

VASP calculation (PBE) on a relaxed TlCu2TeI crystal.

Cell lengths 8.3117, 4.4222, 8.6230 Å; angles 90.00, 90.91, 90.00 degrees
Space group P2_1/m (No. 11)
One atom of each set of equivalent atoms:
Tl 0.2488 0.2500 0.4387 x2
Cu 0.0346 0.2500 0.9483 x2
Cu 0.2703 0.2500 0.7769 x2
Te 0.0944 0.7500 0.7793 x2
I 0.4244 0.7500 0.2155 x2

Output
- DOS at the Fermi energy (states/eV/cell) = 0.26
- energy relative to the elements, uncorrected (eV/atom) = -0.152
- energy (eV/atom) = -3.202

***

VASP calculation (PBE) on a relaxed SrPm2Sn4 crystal.

Cell lengths 9.2537, 9.2537, 10.3294 Å; angles 90.00, 90.00, 90.00 degrees
Space group I-42d (No. 122)
One atom of each set of equivalent atoms:
Sr 0.0000 0.0000 0.0000 x4
Pm 0.1441 0.2500 0.6250 x8
Sn 0.0970 0.1597 0.3150 x16

Output
- DOS at the Fermi energy (states/eV/cell) = 23.44
- formation enthalpy at 0 K (meV per atom) = -503
- energy (eV/atom) = -4.388

***

VASP calculation (PBE) on a relaxed K2LaTe crystal.

Cell lengths 4.3004, 4.6931, 20.7709 Å; angles 90.00, 90.00, 90.00 degrees
Space group Immm (No. 71)
One atom of each set of equivalent atoms:
K 0.0000 0.0000 0.1655 x4
La 0.0000 0.5000 0.0000 x2
Te 0.0000 0.5000 0.5000 x2

Output
- DOS at the Fermi energy (states/eV/cell) = 8.22
- energy relative to the elements, uncorrected (eV/atom) = -0.547
- energy (eV/atom) = -3.113

***

VASP calculation (PBE) on a relaxed AcBiRh crystal.

Cell lengths 5.4345, 5.4345, 5.8429 Å; angles 90.00, 90.00, 90.00 degrees
Space group P4/nmm (No. 129, origin choice 2)
One atom of each set of equivalent atoms:
Ac 0.2500 0.2500 0.1448 x2
Bi 0.2500 0.7500 0.5000 x2
Rh 0.2500 0.2500 0.6917 x2

Output
- DOS at the Fermi energy (states/eV/cell) = 3.19
- formation enthalpy at 0 K (meV per atom) = -505
- polymorph energy (0 for the lowest one) (eV/atom) = 0.1612
- energy (eV/atom) = -5.619

***

VASP calculation (PBE) on a relaxed Sm3GaSn2 crystal.

Cell lengths 12.4743, 4.4752, 12.1020 Å; angles 90.00, 90.00, 90.00 degrees
Space group Pnma (No. 62)
One atom of each set of equivalent atoms:
Sm 0.0514 0.2500 0.1217 x4
Sm 0.1237 0.7500 0.5583 x4
Sm 0.2168 0.2500 0.7968 x4
Ga 0.1335 0.2500 0.3650 x4
Sn 0.0101 0.7500 0.3110 x4
Sn 0.1883 0.7500 0.0048 x4

Output
- DOS at the Fermi energy (states/eV/cell) = 15.62
- formation enthalpy at 0 K (meV per atom) = -685
- energy (eV/atom) = -4.883

***

VASP calculation (PBE) on a relaxed Ce2DyPaAs4 crystal.

Cell lengths 7.1889, 4.1613, 7.2260 Å; angles 90.00, 109.44, 90.00 degrees
Space group P2/m (No. 10)
One atom of each set of equivalent atoms:
Ce 0.0000 0.0000 0.0000 x1
Ce 0.5000 0.5000 0.0000 x1
Dy 0.0000 0.5000 0.5000 x1
Pa 0.5000 0.0000 0.5000 x1
As 0.2503 0.0000 0.7422 x2
As 0.2544 0.5000 0.2593 x2

Output
- DOS at the Fermi energy (states/eV/cell) = 14.67
- formation enthalpy at 0 K (meV per atom) = -1360
- energy (eV/atom) = -6.931

***

VASP calculation (PBE) on a relaxed MnOsS2Cl crystal.

Cell lengths 4.6420, 4.6420, 4.5007 Å; angles 90.00, 90.00, 90.00 degrees
Space group P4/mmm (No. 123)
One atom of each set of equivalent atoms:
Mn 0.0000 0.0000 0.0000 x1
Os 0.5000 0.5000 0.5000 x1
S 0.0000 0.5000 0.0000 x2
Cl 0.0000 0.0000 0.5000 x1

Output
- DOS at the Fermi energy (states/eV/cell) = 5.50
- polymorph energy (0 for the lowest one) (eV/atom) = 0.5111
- energy relative to the elements, uncorrected (eV/atom) = 1.023
- energy (eV/atom) = -5.077

***

VASP calculation (PBE) on a relaxed Th3Os2Pt crystal.

Cell lengths 13.1341, 5.8196, 8.2658 Å; angles 90.00, 108.42, 90.00 degrees
Space group C2/c (No. 15)
One atom of each set of equivalent atoms:
Th 0.0000 0.0019 0.2500 x4
Th 0.1774 0.4990 0.0889 x8
Os 0.1605 0.0009 0.5799 x8
Pt 0.0000 0.4983 0.7500 x4

Output
- DOS at the Fermi energy (states/eV/cell) = 14.22
- formation enthalpy at 0 K (meV per atom) = -527
- energy (eV/atom) = -8.987

***

VASP calculation (PBE) on a relaxed Ho7Ga2Te2 crystal.

Cell lengths 7.8122, 10.6755, 7.5930 Å; angles 90.00, 90.00, 90.00 degrees
Space group Cmmm (No. 65)
One atom of each set of equivalent atoms:
Ho 0.0000 0.0000 0.0000 x2
Ho 0.0000 0.5000 0.2768 x4
Ho 0.2500 0.2500 0.2913 x8
Ga 0.1695 0.0000 0.5000 x4
Te 0.0000 0.2840 0.0000 x4

Output
- DOS at the Fermi energy (states/eV/cell) = 21.41
- polymorph energy (0 for the lowest one) (eV/atom) = 0.3713
- energy relative to the elements, uncorrected (eV/atom) = -0.354
- energy (eV/atom) = -4.389

***

VASP calculation (PBE) on a relaxed Cd2IrWAu crystal.

Cell lengths 4.9995, 4.9995, 5.0518 Å; angles 90.00, 90.00, 90.00 degrees
Space group P4/mmm (No. 123)
One atom of each set of equivalent atoms:
Cd 0.0000 0.5000 0.0000 x2
Ir 0.0000 0.0000 0.5000 x1
W 0.5000 0.5000 0.5000 x1
Au 0.0000 0.0000 0.0000 x1

Output
- DOS at the Fermi energy (states/eV/cell) = 6.05
- formation enthalpy at 0 K (meV per atom) = 1815
- energy (eV/atom) = -3.570

***

VASP calculation (PBE) on a relaxed Ba3ThGa2O9 crystal.

Cell lengths 5.9415, 5.9415, 7.4009 Å; angles 90.00, 90.00, 120.00 degrees
Space group P-3m1 (No. 164)
One atom of each set of equivalent atoms:
Ba 0.0000 0.0000 0.0000 x1
Ba 0.3333 0.6667 0.6954 x2
Th 0.0000 0.0000 0.5000 x1
Ga 0.3333 0.6667 0.1622 x2
O 0.0000 0.5000 0.0000 x3
O 0.1746 0.3492 0.3144 x6

Output
- DOS at the Fermi energy (states/eV/cell) = 10.49
- energy relative to the elements, uncorrected (eV/atom) = -2.370
- energy (eV/atom) = -6.628

***

VASP calculation (PBE) on a relaxed K2Sn5Au3 crystal.

Cell lengths 11.7332, 13.6931, 6.9091 Å; angles 90.00, 90.00, 90.00 degrees
Space group Ibam (No. 72)
One atom of each set of equivalent atoms:
K 0.2474 0.1308 0.0000 x8
Sn 0.0000 0.0000 0.2500 x4
Sn 0.0000 0.2527 0.2500 x8
Sn 0.1412 0.3911 0.0000 x8
Au 0.0000 0.5000 0.2500 x4
Au 0.1256 0.1267 0.5000 x8

Output
- DOS at the Fermi energy (states/eV/cell) = 17.41
- formation enthalpy at 0 K (meV per atom) = -288
- polymorph energy (0 for the lowest one) (eV/atom) = 0.0000
- energy (eV/atom) = -3.492

***

VASP calculation (PBE) on a relaxed Fe2Rh crystal.

Cell lengths 4.2474, 4.2474, 2.7053 Å; angles 90.00, 90.00, 90.00 degrees
Space group P4/mmm (No. 123)
One atom of each set of equivalent atoms:
Fe 0.0000 0.5000 0.0000 x2
Rh 0.0000 0.0000 0.5000 x1

Output
- DOS at the Fermi energy (states/eV/cell) = 3.33
- formation enthalpy at 0 K (meV per atom) = 509
- energy (eV/atom) = -7.583

***

VASP calculation (PBE) on a relaxed Sc3TiAg3Te8 crystal.

Cell lengths 14.2338, 8.2198, 8.6490 Å; angles 90.00, 123.36, 90.00 degrees
Space group C2/m (No. 12)
One atom of each set of equivalent atoms:
Sc 0.0000 0.0000 0.0000 x2
Sc 0.2500 0.2500 0.0000 x4
Ti 0.0000 0.5000 0.0000 x2
Ag 0.0000 0.5000 0.5000 x2
Ag 0.2500 0.2500 0.5000 x4
Te 0.0030 0.2586 0.7682 x8
Te 0.2385 0.5000 0.2317 x4
Te 0.2474 0.0000 0.2417 x4

Output
- DOS at the Fermi energy (states/eV/cell) = 4.58
- energy relative to the elements, uncorrected (eV/atom) = -0.690
- energy (eV/atom) = -4.728

***

VASP calculation (PBE) on a relaxed Sc2In3Ag3 crystal.

Cell lengths 4.3501, 4.4907, 8.5766 Å; angles 90.00, 90.00, 90.00 degrees
Space group Pmmm (No. 47)
One atom of each set of equivalent atoms:
Sc 0.0000 0.0000 0.2476 x2
In 0.0000 0.5000 0.0000 x1
In 0.0000 0.5000 0.5000 x1
In 0.5000 0.0000 0.5000 x1
Ag 0.5000 0.0000 0.0000 x1
Ag 0.5000 0.5000 0.2436 x2

Output
- DOS at the Fermi energy (states/eV/cell) = 5.70
- formation enthalpy at 0 K (meV per atom) = -233
- energy (eV/atom) = -3.912

***

VASP calculation (PBE) on a relaxed GeOF2 crystal.

Cell lengths 3.5209, 3.5209, 21.4893 Å; angles 90.00, 90.00, 120.00 degrees
Space group R-3m (No. 166, hexagonal axes)
One atom of each set of equivalent atoms:
Ge 0.0000 0.0000 0.0000 x3
O 0.0000 0.0000 0.5000 x3
F 0.0000 0.0000 0.3805 x6

Output
- DOS at the Fermi energy (states/eV/cell) = 5.33
- polymorph energy (0 for the lowest one) (eV/atom) = 1.4079
- energy relative to the elements, uncorrected (eV/atom) = -0.654
- energy (eV/atom) = -3.983

***

VASP calculation (PBE) on a relaxed CoCS2N crystal.

Cell lengths 5.4758, 5.4758, 2.4186 Å; angles 90.00, 90.00, 90.00 degrees
Space group P4/mmm (No. 123)
One atom of each set of equivalent atoms:
Co 0.0000 0.0000 0.0000 x1
C 0.5000 0.5000 0.5000 x1
S 0.0000 0.5000 0.5000 x2
N 0.5000 0.5000 0.0000 x1

Output
- DOS at the Fermi energy (states/eV/cell) = 2.87
- polymorph energy (0 for the lowest one) (eV/atom) = 0.0000
- energy relative to the elements, uncorrected (eV/atom) = 1.018
- energy (eV/atom) = -5.564

***

VASP calculation (PBE) on a relaxed NaHgCl crystal.

Cell lengths 3.8373, 3.8373, 14.3871 Å; angles 90.00, 90.00, 90.00 degrees
Space group I4mm (No. 107)
One atom of each set of equivalent atoms:
Na 0.0000 0.0000 0.0000 x2
Hg 0.0000 0.0000 0.2397 x2
Cl 0.0000 0.0000 0.4915 x2

Output
- DOS at the Fermi energy (states/eV/cell) = 0.00
- polymorph energy (0 for the lowest one) (eV/atom) = 0.0268
- energy relative to the elements, uncorrected (eV/atom) = -1.081
- energy (eV/atom) = -2.237

***

VASP calculation (PBE) on a relaxed TaTlS2 crystal.

Cell lengths 5.4853, 5.4853, 11.4248 Å; angles 90.00, 90.00, 90.00 degrees
Space group I4_1/amd (No. 141, origin choice 2)
One atom of each set of equivalent atoms:
Ta 0.0000 0.2500 0.3750 x4
Tl 0.0000 0.2500 0.8750 x4
S 0.0000 0.2500 0.1579 x8

Output
- DOS at the Fermi energy (states/eV/cell) = 11.79
- energy relative to the elements, uncorrected (eV/atom) = -0.062
- energy (eV/atom) = -5.681